The following is a GGA-PBE calculation of crystalline TaCrCo2 at its relaxed geometry, from Alexandria via LeMat-Bulk.

total magnetic moment = 0.11 μB/atom
ΔH_f (0 K) = -39 meV/atom
ΔE to the lowest computed polymorph = 0 meV/atom
E_tot = -8.961 eV per atom
SG = P4/mmm (123)

extended XYZ file:
```
4
Lattice="3.721 0.000 0.000 0.000 3.721 0.000 0.000 0.000 3.621" Properties=species:S:1:pos:R:3 pbc="T T T"
Ta 0.000 0.000 0.000
Cr 1.861 1.861 0.000
Co 0.000 1.861 1.810
Co 1.861 0.000 1.810
```